(1)
{
  "formula": "Sr4PmS5",
  "functional": "PBE",
  "state": "optimized geometry",
  "cell": [[-2.1086, 2.1086, 14.9826], [2.1086, -2.1086, 14.9826], [2.1086, 2.1086, -14.9826]],
  "species": ["Sr", "Sr", "Sr", "Sr", "Pm", "S", "S", "S", "S", "S"],
  "frac_coords": [[0.0985, 0.0985, 0.0000], [0.3008, 0.3008, 0.0000], [0.6992, 0.6992, 0.0000], [0.9015, 0.9015, 0.0000], [0.5000, 0.5000, 0.0000], [0.0000, 0.0000, 0.0000], [0.1994, 0.1994, 0.0000], [0.4035, 0.4035, 0.0000], [0.5965, 0.5965, 0.0000], [0.8006, 0.8006, 0.0000]],
  "raw_formation_energy_ev_per_atom": -2.10,
  "mass_density_g_cm3": 4.09,
  "vol_a3_per_atom": 26.6,
  "crystal_system": "tetragonal"
}

(2)
{
  "formula": "DyAg2Pd7",
  "functional": "PBE",
  "state": "optimized geometry",
  "cell": [[3.5744, -6.9201, 0.0000], [3.5744, 6.9201, 0.0000], [0.0000, 0.0000, 4.4170]],
  "species": ["Dy", "Ag", "Ag", "Pd", "Pd", "Pd", "Pd", "Pd", "Pd", "Pd"],
  "frac_coords": [[0.0000, 0.0000, 0.0000], [0.2969, 0.7031, 0.5000], [0.7031, 0.2969, 0.5000], [0.0814, 0.2868, 0.5000], [0.1910, 0.8090, 0.0000], [0.2868, 0.0814, 0.5000], [0.5000, 0.5000, 0.5000], [0.7132, 0.9186, 0.5000], [0.8090, 0.1910, 0.0000], [0.9186, 0.7132, 0.5000]],
  "mass_density_g_cm3": 8.54,
  "vol_a3_per_atom": 21.9,
  "delta_e_f_mev_per_atom": 158,
  "crystal_system": "orthorhombic"
}

(3)
{
  "formula": "SrY2ZnN",
  "functional": "PBE",
  "state": "optimized geometry",
  "cell": [[4.7814, 0.0000, 0.0000], [0.0000, 4.7814, 0.0000], [0.0000, 0.0000, 5.2738]],
  "species": ["Sr", "Y", "Y", "Zn", "N"],
  "frac_coords": [[0.0000, 0.0000, 0.0000], [0.0000, 0.5000, 0.5000], [0.5000, 0.0000, 0.5000], [0.5000, 0.5000, 0.0000], [0.0000, 0.0000, 0.5000]],
  "raw_formation_energy_ev_per_atom": -0.58,
  "mass_density_g_cm3": 4.75,
  "vol_a3_per_atom": 24.1,
  "crystal_system": "tetragonal"
}

(4)
{
  "formula": "Be2C3",
  "functional": "PBE",
  "state": "optimized geometry",
  "cell": [[2.6794, 0.0000, 0.0000], [-1.3397, 2.3204, 0.0000], [0.0000, 0.0000, 23.6275]],
  "species": ["Be", "Be", "Be", "Be", "Be", "Be", "C", "C", "C", "C", "C", "C", "C", "C", "C"],
  "frac_coords": [[0.0000, 0.0000, 0.1411], [0.0000, 0.0000, 0.8589], [0.3333, 0.6667, 0.5255], [0.3333, 0.6667, 0.8078], [0.6667, 0.3333, 0.1922], [0.6667, 0.3333, 0.4745], [0.0000, 0.0000, 0.3333], [0.0000, 0.0000, 0.5000], [0.0000, 0.0000, 0.6667], [0.3333, 0.6667, 0.0000], [0.3333, 0.6667, 0.1667], [0.3333, 0.6667, 0.3333], [0.6667, 0.3333, 0.0000], [0.6667, 0.3333, 0.6667], [0.6667, 0.3333, 0.8333]],
  "mass_density_g_cm3": 1.83,
  "vol_a3_per_atom": 9.8,
  "delta_e_f_mev_per_atom": 461,
  "crystal_system": "trigonal"
}

(5)
{
  "formula": "Sm4CoBi",
  "functional": "PBE",
  "state": "optimized geometry",
  "cell": [[5.9175, 0.0000, 0.0000], [0.0000, 10.9050, 0.0000], [-1.7218, 0.0000, 6.1203]],
  "species": ["Sm", "Sm", "Sm", "Sm", "Sm", "Sm", "Sm", "Sm", "Co", "Co", "Bi", "Bi"],
  "frac_coords": [[0.1404, 0.2500, 0.2160], [0.2469, 0.7500, 0.3782], [0.2903, 0.0239, 0.7066], [0.2903, 0.4761, 0.7066], [0.7097, 0.5239, 0.2934], [0.7097, 0.9761, 0.2934], [0.7531, 0.2500, 0.6218], [0.8596, 0.7500, 0.7840], [0.2443, 0.2500, 0.6605], [0.7557, 0.7500, 0.3395], [0.4154, 0.7500, 0.9476], [0.5846, 0.2500, 0.0524]],
  "mass_density_g_cm3": 7.31,
  "vol_a3_per_atom": 32.9,
  "delta_e_f_mev_per_atom": -113,
  "crystal_system": "monoclinic"
}

(6)
{
  "formula": "LiAcC3N6",
  "functional": "PBE",
  "state": "optimized geometry",
  "cell": [[5.1325, 2.9633, 2.2283], [-5.1325, 2.9633, 2.2283], [0.0000, -5.9265, 2.2283]],
  "species": ["Li", "Ac", "C", "C", "C", "N", "N", "N", "N", "N", "N"],
  "frac_coords": [[0.0000, 0.0000, 0.0000], [0.5000, 0.5000, 0.5000], [0.0000, 0.0000, 0.5000], [0.0000, 0.5000, 0.0000], [0.5000, 0.0000, 0.0000], [0.1202, 0.4223, 0.1206], [0.1206, 0.1202, 0.4223], [0.4223, 0.1206, 0.1202], [0.5777, 0.8794, 0.8798], [0.8794, 0.8798, 0.5777], [0.8798, 0.5777, 0.8794]],
  "raw_formation_energy_ev_per_atom": -0.18,
  "mass_density_g_cm3": 2.89,
  "vol_a3_per_atom": 18.5,
  "crystal_system": "trigonal"
}